# PtS

PtS after structural relaxation (GGA-PBE, the Open Quantum Materials Database).

## Properties
Calculated total energy, eV/atom: -5.505

Cell and atoms, written as POSCAR:
```
PtS
1.0
3.5290 0.0000 0.0000
0.0000 3.5290 0.0000
0.0000 0.0000 6.1054
Pt S
2 2
direct
0.0000 0.5000 0.0000
0.5000 0.0000 0.5000
0.0000 0.0000 0.2500
0.0000 0.0000 0.7500
```

***

# PtS

PtS after structural relaxation (GGA-PBE, the Open Quantum Materials Database).

## Properties
Calculated total energy, eV/atom: -5.068

Cell and atoms, written as POSCAR:
```
PtS
1.0
0.8000 1.7106 3.3288
-0.1589 3.8137 0.2785
-2.7964 1.6563 2.0210
S Pt
1 1
direct
0.2500 0.2500 0.2500
0.0000 0.0000 0.0000
```

***

# PtS

PtS after structural relaxation (GGA-PBE, the Open Quantum Materials Database).

## Properties
Calculated total energy, eV/atom: -4.768

Cell and atoms, written as POSCAR:
```
PtS
1.0
3.4967 0.0000 0.0000
-1.7483 3.0280 0.0000
0.0000 0.0000 3.1870
Pt S
1 1
direct
0.6666 0.3333 0.7500
0.3334 0.6667 0.2500
```

***

# Pt2S

Pt2S after structural relaxation (GGA-PBE, the Open Quantum Materials Database).

## Properties
Calculated total energy, eV/atom: -4.557

Cell and atoms, written as POSCAR:
```
Pt2S
1.0
2.5933 -0.9697 4.5199
-0.8456 3.0547 4.2484
-2.6061 -1.9445 4.1860
Pt S
4 2
direct
0.6250 0.6250 0.6250
0.6250 0.1250 0.6250
0.6250 0.6250 0.1250
0.1250 0.6250 0.6250
0.2500 0.2500 0.2500
0.0000 0.0000 0.0000
```

***

# Ta2PtSe4S2

Ta2PtSe4S2 after structural relaxation (GGA-PBE, the Open Quantum Materials Database).

## Properties
E above lowest polymorph, eV/atom: 0.001

Cell and atoms, written as POSCAR:
```
Ta2PtSe4S2
1.0
-3.4406 -0.5081 -6.0988
-0.2249 -1.0897 -6.9320
0.2329 -8.4183 6.7751
Se Ta Pt S
4 2 1 2
direct
0.2122 0.2122 0.1345
0.7878 0.7878 0.8655
0.9858 0.9858 0.7622
0.0142 0.0142 0.2378
0.6818 0.6818 0.2985
0.3182 0.3182 0.7015
0.0000 0.0000 0.0000
0.6753 0.6753 0.5364
0.3247 0.3247 0.4636
```

***

# Ta2PtSe4S2

Ta2PtSe4S2 after structural relaxation (GGA-PBE, the Open Quantum Materials Database).

## Properties
E above lowest polymorph, eV/atom: 0.000

Cell and atoms, written as POSCAR:
```
Ta2PtSe4S2
1.0
6.7211 -1.6792 0.0000
6.7211 1.6792 0.0000
-5.3239 0.0000 9.3584
Se Ta S Pt
4 2 2 1
direct
0.3343 0.3343 0.4619
0.0072 0.0072 0.2354
0.6657 0.6657 0.5381
0.9928 0.9928 0.7646
0.6739 0.6739 0.2871
0.3261 0.3261 0.7129
0.7994 0.7994 0.8644
0.2006 0.2006 0.1356
0.0000 0.0000 0.0000
```

***

# SnPtS3

SnPtS3 after structural relaxation (GGA-PBE, the Open Quantum Materials Database).

## Properties
Calculated total energy, eV/atom: -4.836

Cell and atoms, written as POSCAR:
```
SnPtS3
1.0
-6.2422 3.4373 5.2475
1.6630 -1.4771 2.9457
7.2825 11.0460 1.4275
Pt S Sn
4 12 4
direct
0.8424 0.7500 0.4492
0.6576 0.2500 0.9492
0.1576 0.2500 0.5508
0.3424 0.7500 0.0508
0.7128 0.7500 0.2912
0.0041 0.2500 0.4005
0.2128 0.7500 0.2088
0.6864 0.2500 0.5034
0.9959 0.7500 0.5995
0.4959 0.7500 0.9005
0.7872 0.2500 0.7912
0.2872 0.2500 0.7088
0.1864 0.2500 0.9966
0.8136 0.7500 0.0034
0.3136 0.7500 0.4966
0.5041 0.2500 0.0995
0.4891 0.7500 0.6681
0.5109 0.2500 0.3319
0.9891 0.7500 0.8319
0.0109 0.2500 0.1681
```

***

# Sn2PtS3

Sn2PtS3 after structural relaxation (GGA-PBE, the Open Quantum Materials Database).

## Properties
Calculated total energy, eV/atom: -4.648

Cell and atoms, written as POSCAR:
```
Sn2PtS3
1.0
6.4017 3.1835 3.7218
2.7553 7.4223 1.5121
-5.6756 -5.7213 0.1503
Sn S Pt
2 3 1
direct
0.3537 0.3537 0.0000
0.6463 0.6463 0.0000
0.1583 0.1583 0.0000
0.5000 0.0000 0.5000
0.8417 0.8417 0.0000
0.0000 0.0000 0.0000
```

***

# SrPtS3

SrPtS3 after structural relaxation (GGA-PBE, the Open Quantum Materials Database).

## Properties
Calculated total energy, eV/atom: -5.037

Cell and atoms, written as POSCAR:
```
SrPtS3
1.0
-5.2095 -5.7780 1.5541
2.7454 -2.0441 1.6029
-2.8275 5.8627 12.3189
S Sr Pt
12 4 4
direct
0.5098 0.2500 0.9052
0.1989 0.7500 0.7920
0.3420 0.7500 0.4960
0.6580 0.2500 0.5040
0.8420 0.7500 0.0040
0.8011 0.2500 0.2080
0.3011 0.2500 0.2920
0.9902 0.7500 0.4052
0.0098 0.2500 0.5948
0.6989 0.7500 0.7080
0.4902 0.7500 0.0948
0.1580 0.2500 0.9960
0.5877 0.7500 0.3240
0.0877 0.7500 0.1760
0.4123 0.2500 0.6760
0.9123 0.2500 0.8240
0.6682 0.2500 0.0527
0.8318 0.7500 0.5527
0.1682 0.2500 0.4473
0.3318 0.7500 0.9473
```

***

# TePtS4

TePtS4 after structural relaxation (GGA-PBE, the Open Quantum Materials Database).

## Properties
Calculated total energy, eV/atom: -4.353

Cell and atoms, written as POSCAR:
```
TePtS4
1.0
6.3683 0.0000 0.0000
0.0000 3.6789 0.0000
-2.0351 0.0000 6.9306
S Te Pt
4 1 1
direct
0.6305 0.0000 0.7866
0.0716 0.5000 0.8066
0.9284 0.5000 0.1934
0.3695 0.0000 0.2134
0.5000 0.5000 0.0000
0.0000 0.0000 0.0000
```

***

# Tl2PtS3

Tl2PtS3 after structural relaxation (GGA-PBE, the Open Quantum Materials Database).

## Properties
Calculated total energy, eV/atom: -3.980

Cell and atoms, written as POSCAR:
```
Tl2PtS3
1.0
-1.2305 -5.1308 2.8615
5.7851 -1.8818 4.4006
-3.5454 1.4541 6.4963
S Pt Tl
6 2 4
direct
0.7470 0.4460 0.4705
0.0892 0.7192 0.1143
0.9108 0.2808 0.8857
0.2530 0.5540 0.5295
0.6767 0.8763 0.6921
0.3233 0.1237 0.3079
0.1513 0.4509 0.2892
0.8487 0.5491 0.7108
0.5857 0.7293 0.1112
0.1811 0.9353 0.6674
0.4143 0.2707 0.8888
0.8189 0.0647 0.3326
```

***

# TlPtS

TlPtS after structural relaxation (GGA-PBE, the Open Quantum Materials Database).

## Properties
Calculated total energy, eV/atom: -4.292

Cell and atoms, written as POSCAR:
```
TlPtS
1.0
-5.9104 -0.8741 0.1614
-4.3417 -1.7197 3.7303
-4.9325 2.0775 2.6603
Pt Tl S
1 1 1
direct
0.2761 0.2761 0.2761
0.7662 0.7662 0.7662
0.9578 0.9578 0.9578
```

***

# SbPt

SbPt after structural relaxation (GGA-PBE, the Open Quantum Materials Database).

## Properties
Calculated total energy, eV/atom: -5.383

Cell and atoms, written as POSCAR:
```
SbPt
1.0
-4.6991 1.1263 2.7039
-2.0941 -1.0872 -3.1865
-0.2311 -7.3446 2.6577
Sb Pt
4 4
direct
0.7500 0.0000 0.6867
0.7500 0.5000 0.0717
0.2500 0.5000 0.9283
0.2500 0.0000 0.3133
0.7500 0.0000 0.2909
0.5000 0.5000 0.5000
0.2500 0.0000 0.7091
0.0000 0.5000 0.5000
```

***

# SbPt124

SbPt124 after structural relaxation (GGA-PBE, the Open Quantum Materials Database).

## Properties
Calculated total energy, eV/atom: -6.044

Cell and atoms, written as POSCAR:
```
SbPt124
1.0
-11.0413 -7.6133 -3.9598
-11.6364 6.3493 -4.4534
-3.5782 -0.6299 -13.5038
Pt Sb
124 1
direct
0.4001 0.8000 0.0000
0.8000 0.0000 0.6000
0.4001 0.2000 0.5999
0.8000 0.6000 0.6000
0.6000 0.8000 0.0000
0.0000 0.2000 0.2000
0.0000 0.6000 0.8000
0.6000 0.6000 0.0000
0.5995 0.0000 0.0000
0.0000 0.7993 0.2007
0.4000 0.6000 0.4000
0.4005 0.5995 0.0000
0.0000 0.0000 0.5995
0.6000 0.6000 0.4000
0.0000 0.8000 0.6000
0.2000 0.2000 0.0000
0.8000 0.5999 0.2000
0.0000 0.2000 0.4000
0.2000 0.0000 0.2000
0.2000 0.4001 0.5999
0.2007 0.0000 0.0000
0.6000 0.8000 0.6000
0.5999 0.0000 0.2000
0.2000 0.2000 0.4000
0.2000 0.4000 0.2000
0.0000 0.8000 0.8000
0.7996 0.2004 0.7996
0.4001 0.8000 0.2000
0.4001 0.2000 0.8000
0.0000 0.4001 0.8000
0.6000 0.4000 0.4000
0.0000 0.4005 0.5995
0.2000 0.5999 0.4001
0.7993 0.0000 0.0000
0.8000 0.5999 0.4001
0.8000 0.8000 0.0000
0.2004 0.7996 0.7996
0.2007 0.0000 0.7993
0.0000 0.0000 0.7993
0.0000 0.7993 0.0000
0.4000 0.2000 0.2000
0.8000 0.8000 0.8000
0.8000 0.0000 0.8000
0.0000 0.6000 0.6000
0.5999 0.8000 0.2000
0.4000 0.4000 0.6000
0.4000 0.4000 0.4000
0.4001 0.8000 0.8000
0.4000 0.8001 0.4000
0.4000 0.4000 0.2000
0.7993 0.2007 0.0000
0.4000 0.0000 0.4000
0.6000 0.1999 0.6000
0.1999 0.6000 0.6000
0.2007 0.7993 0.0000
0.5999 0.2000 0.0000
0.4000 0.2000 0.0000
0.5995 0.4005 0.0000
0.6000 0.8000 0.8000
0.5999 0.2000 0.4001
0.0000 0.5995 0.4005
0.6000 0.4000 0.6000
0.2000 0.5999 0.0000
0.8000 0.0000 0.4001
0.0000 0.8000 0.4001
0.5999 0.4001 0.8000
0.7996 0.7996 0.2004
0.2000 0.0000 0.4000
0.0000 0.5995 0.0000
0.0000 0.4005 0.0000
0.8000 0.4001 0.8000
0.6000 0.0000 0.6000
0.8000 0.8000 0.4001
0.2000 0.5999 0.2000
0.0000 0.2000 0.5999
0.5999 0.8000 0.4001
0.4001 0.0000 0.8000
0.7993 0.0000 0.2007
0.4001 0.5999 0.2000
0.0000 0.0000 0.4005
0.8001 0.4000 0.4000
0.8000 0.4001 0.5999
0.4000 0.4000 0.0000
0.2000 0.2000 0.5999
0.2000 0.8000 0.5999
0.4005 0.0000 0.5995
0.0000 0.2007 0.7993
0.5995 0.0000 0.4005
0.2000 0.4001 0.8000
0.2004 0.2004 0.7996
0.4000 0.6000 0.6000
0.0000 0.4000 0.2000
0.4001 0.8000 0.5999
0.0000 0.0000 0.2007
0.5999 0.2000 0.8000
0.0000 0.5999 0.2000
0.2004 0.7996 0.2004
0.5999 0.4001 0.2000
0.6000 0.6000 0.8000
0.0000 0.4000 0.4000
0.7996 0.2004 0.2004
0.4000 0.2000 0.4000
0.8000 0.2000 0.4001
0.2000 0.8000 0.4001
0.8000 0.8000 0.6000
0.8000 0.2000 0.5999
0.6000 0.6000 0.6000
0.2000 0.2000 0.2000
0.4005 0.0000 0.0000
0.2000 0.0000 0.5999
0.2000 0.4000 0.4000
0.8000 0.6000 0.8000
0.0000 0.2007 0.0000
0.6000 0.6000 0.1999
0.4000 0.0000 0.2000
0.4000 0.4000 0.8001
0.2000 0.4000 0.0000
0.6000 0.0000 0.8000
0.5999 0.2000 0.2000
0.8000 0.4001 0.2000
0.8000 0.4001 0.0000
0.8000 0.6000 0.0000
0.4001 0.5999 0.8000
0.2000 0.5999 0.8000
0.0000 0.0000 0.0000
```

***

# Sb2Pt

Sb2Pt after structural relaxation (GGA-PBE, the Open Quantum Materials Database).

## Properties
Calculated total energy, eV/atom: -5.020

Cell and atoms, written as POSCAR:
```
Sb2Pt
1.0
7.2007 0.0000 0.0000
0.0000 4.5296 0.0000
0.0000 0.0000 8.7178
Sb Pt
8 4
direct
0.0438 0.7500 0.6360
0.5438 0.7500 0.8640
0.3791 0.7500 0.3904
0.8791 0.7500 0.1096
0.6209 0.2500 0.6096
0.9562 0.2500 0.3640
0.1209 0.2500 0.8904
0.4562 0.2500 0.1360
0.7539 0.7500 0.4407
0.7461 0.2500 0.9407
0.2539 0.7500 0.0593
0.2461 0.2500 0.5593
```

***

# Sb2Pt9

Sb2Pt9 after structural relaxation (GGA-PBE, the Open Quantum Materials Database).

## Properties
Calculated total energy, eV/atom: -5.598

Cell and atoms, written as POSCAR:
```
Sb2Pt9
1.0
2.9204 0.0000 0.0000
-1.4602 2.5292 0.0000
0.0000 0.0000 33.1986
Pt Sb
9 2
direct
0.6667 0.3333 0.3682
0.3333 0.6667 0.2330
0.0000 0.0000 0.3019
0.3333 0.6667 0.6318
0.3333 0.6667 0.4340
0.6667 0.3333 0.5660
0.0000 0.0000 0.6981
0.6667 0.3333 0.7670
0.0000 0.0000 0.5000
0.6667 0.3333 0.1658
0.3333 0.6667 0.8342
```

***

# SbPt3

SbPt3 after structural relaxation (GGA-PBE, the Open Quantum Materials Database).

## Properties
Calculated total energy, eV/atom: -5.770

Cell and atoms, written as POSCAR:
```
SbPt3
1.0
2.4997 -2.0171 8.4451
5.2866 2.5949 6.8524
-5.9738 1.3133 -6.6502
Pt Sb
6 2
direct
0.3855 0.3855 0.0000
0.7500 0.2500 0.5000
0.0000 0.5000 0.5000
0.2500 0.7500 0.5000
0.6145 0.6145 0.0000
0.5000 0.0000 0.5000
0.8652 0.8652 0.0000
0.1348 0.1348 0.0000
```

***

# SbPt8

SbPt8 after structural relaxation (GGA-PBE, the Open Quantum Materials Database).

## Properties
Calculated total energy, eV/atom: -5.893

Cell and atoms, written as POSCAR:
```
SbPt8
1.0
-1.3669 0.4318 -4.5457
-4.3276 0.5053 -1.9327
2.3368 26.5381 1.9012
Pt Sb
16 2
direct
0.2510 0.2510 0.2574
0.2461 0.2461 0.9161
0.1536 0.1536 0.1521
0.8516 0.8516 0.1854
0.3509 0.3509 0.0167
0.4463 0.4463 0.7780
0.4544 0.4544 0.1179
0.8464 0.8464 0.8479
0.1484 0.1484 0.8146
0.9477 0.9477 0.9495
0.7490 0.7490 0.7426
0.7539 0.7539 0.0839
0.6491 0.6491 0.9833
0.5456 0.5456 0.8821
0.5537 0.5537 0.2220
0.0523 0.0523 0.0505
0.9469 0.9469 0.2871
0.0531 0.0531 0.7129
```